Material: LaAl2Rh
Method: DFT, meta-GGA SCAN
State: single point on PBEsol structure

Structure (CIF):
```
data_LaAl2Rh
_cell_length_a 4.3637
_cell_length_b 4.3637
_cell_length_c 15.4978
_cell_angle_alpha 90.00
_cell_angle_beta 90.00
_cell_angle_gamma 120.00
_space_group_name_H-M_alt 'R 3 m'
_space_group_IT_number 160
_space_group_name_Hall 'R 3 -2"'
loop_
_atom_site_label
_atom_site_fract_x
_atom_site_fract_y
_atom_site_fract_z
La1 0.0000 0.0000 0.0000
Al1 0.0000 0.0000 0.5299
Al2 0.0000 0.0000 0.7994
Rh1 0.0000 0.0000 0.1809
```

Calculated volume   21.30 Å³ per atom
Total magnetization   0.0011 μB per atom
N(E_F)   0.68 states/eV per atom
ΔH_f (0 K)   -0.810 eV per atom